1.
# Mo3PdPt

A geometry-optimized Mo3PdPt structure (GGA-PBE, Alexandria via LeMat-Bulk).

Results
E above lowest polymorph	0	meV/atom
energy relative to the elements	1.76	eV/atom
raw total energy	-34.93	eV per formula unit
SG	Pm-3m, No. 221
DOS(E_F)	6.74	states/eV per cell
theoretical density	9.16	Mg/m³

Cell lengths 4.7453, 4.7453, 4.7453 Å; angles 90.00, 90.00, 90.00 degrees
Sites, in units of the cell vectors:
1 Mo 0.0000 0.5000 0.0000
2 Mo 0.0000 0.0000 0.5000
3 Mo 0.5000 0.0000 0.0000
4 Pd 0.5000 0.5000 0.5000
5 Pt 0.0000 0.0000 0.0000

=====

2.
# Zn2FeCuAg

A geometry-optimized Zn2FeCuAg structure (GGA-PBE, Alexandria via LeMat-Bulk).

Results
energy relative to the elements	1.06	eV/atom
raw total energy	-12.66	eV per formula unit
SG	P4/mmm, No. 123
DOS(E_F)	4.40	states/eV per cell
theoretical density	5.55	Mg/m³

Cell lengths 4.7613, 4.7282, 4.7613 Å; angles 90.00, 90.00, 90.00 degrees
Each line ends with the local moment (μB).
Sites, in units of the cell vectors:
1 Zn 0.0000 0.0000 0.5000  -0.01
2 Zn 0.5000 0.0000 0.0000  -0.01
3 Cu 0.0000 0.5000 0.0000  0.02
4 Ag 0.0000 0.0000 0.0000  0.00
5 Fe 0.5000 0.5000 0.5000  3.28

=====

3.
# Np2Tl2PdS6

A geometry-optimized Np2Tl2PdS6 structure (GGA-PBE, Alexandria via LeMat-Bulk).

Results
raw formation energy	-9.000	eV per formula unit
raw total energy	-69.57	eV per formula unit
SG	C2/m, No. 12
DOS(E_F)	18.68	states/eV per cell
theoretical density	6.71	Mg/m³

Cell lengths 6.6597, 6.6597, 7.9561 Å; angles 97.53, 97.53, 120.78 degrees
Each line ends with the local moment (μB).
Sites, in units of the cell vectors:
1 Np 0.3325 0.6675 0.5000  3.13
2 Np 0.6675 0.3325 0.5000  3.13
3 Tl 0.8382 0.1618 0.0000  -0.01
4 Tl 0.1618 0.8382 0.0000  -0.01
5 Pd 0.0000 0.0000 0.5000  0.07
6 S 0.7469 0.7469 0.6778  -0.06
7 S 0.0662 0.4117 0.7003  -0.11
8 S 0.2531 0.2531 0.3222  -0.06
9 S 0.4117 0.0662 0.7003  -0.11
10 S 0.9338 0.5883 0.2997  -0.11
11 S 0.5883 0.9338 0.2997  -0.11

=====

4.
# Te2PtCN

A geometry-optimized Te2PtCN structure (GGA-PBE, Alexandria via LeMat-Bulk).

Results
E above lowest polymorph	731	meV/atom
raw formation energy	8.691	eV per formula unit
raw total energy	-21.18	eV per formula unit
SG	P4/mmm, No. 123
DOS(E_F)	3.67	states/eV per cell
theoretical density	7.12	Mg/m³

Cell lengths 5.5166, 5.5166, 3.6518 Å; angles 90.00, 90.00, 90.00 degrees
Each line ends with the local moment (μB).
Sites, in units of the cell vectors:
1 C 0.5000 0.5000 0.5000  0.49
2 Te 0.0000 0.5000 0.0000  -0.12
3 Te 0.5000 0.0000 0.0000  -0.12
4 Pt 0.0000 0.0000 0.0000  -0.02
5 N 0.0000 0.0000 0.5000  -0.02

=====

5.
# Ta2P2Ir

A geometry-optimized Ta2P2Ir structure (GGA-PBE, Alexandria via LeMat-Bulk).

Results
energy relative to the elements	-0.44	eV/atom
raw total energy	-45.59	eV per formula unit
SG	P4/mbm, No. 127
DOS(E_F)	6.08	states/eV per cell
theoretical density	13.65	Mg/m³

Cell lengths 6.7741, 6.7741, 3.2661 Å; angles 90.00, 90.00, 90.00 degrees
Sites, in units of the cell vectors:
1 P 0.3493 0.8493 0.0000
2 P 0.8493 0.6507 0.0000
3 P 0.6507 0.1507 0.0000
4 P 0.1507 0.3493 0.0000
5 Ir 0.0000 0.0000 0.0000
6 Ir 0.5000 0.5000 0.0000
7 Ta 0.1489 0.6489 0.5000
8 Ta 0.6489 0.8511 0.5000
9 Ta 0.8511 0.3511 0.5000
10 Ta 0.3511 0.1489 0.5000

=====

6.
# NaTe3I

A geometry-optimized NaTe3I structure (GGA-PBE, Alexandria via LeMat-Bulk).

Results
E above lowest polymorph	217	meV/atom
raw formation energy	2.704	eV per formula unit
raw total energy	-9.59	eV per formula unit
SG	Pm-3m, No. 221
DOS(E_F)	8.32	states/eV per cell
theoretical density	5.14	Mg/m³

Cell lengths 5.5630, 5.5630, 5.5630 Å; angles 90.00, 90.00, 90.00 degrees
Sites, in units of the cell vectors:
1 I 0.5000 0.5000 0.5000
2 Na 0.0000 0.0000 0.0000
3 Te 0.0000 0.5000 0.0000
4 Te 0.0000 0.0000 0.5000
5 Te 0.5000 0.0000 0.0000

=====

7.
# LaNd3Y

A geometry-optimized LaNd3Y structure (GGA-PBE, Alexandria via LeMat-Bulk).

Results
E above lowest polymorph	88	meV/atom
energy relative to the elements	0.12	eV/atom
raw total energy	-25.11	eV per formula unit
SG	C2/m, No. 12
DOS(E_F)	17.14	states/eV per cell
theoretical density	6.19	Mg/m³

Cell lengths 7.1808, 9.5116, 8.8020 Å; angles 135.58, 90.00, 112.18 degrees
Sites, in units of the cell vectors:
1 La 0.4429 0.8857 0.1106
2 La 0.5571 0.1143 0.8894
3 Nd 0.0954 0.6920 0.3070
4 Nd 0.7461 0.4921 0.4937
5 Nd 0.5965 0.6920 0.3070
6 Nd 0.4035 0.3080 0.6930
7 Nd 0.9046 0.3080 0.6930
8 Nd 0.2539 0.5079 0.5063
9 Y 0.0555 0.1109 0.8870
10 Y 0.9445 0.8891 0.1130

=====

8.
# NaErPa2O8

A geometry-optimized NaErPa2O8 structure (GGA-PBE, Alexandria via LeMat-Bulk).

Results
raw formation energy	-29.033	eV per formula unit
raw total energy	-93.57	eV per formula unit
SG	P-3, No. 147
DOS(E_F)	6.33	states/eV per cell
theoretical density	7.95	Mg/m³

Cell lengths 5.9226, 5.9226, 5.3623 Å; angles 90.00, 90.00, 120.00 degrees
Each line ends with the local moment (μB).
Sites, in units of the cell vectors:
1 Na 0.0000 0.0000 0.0000  0.00
2 Er 0.0000 0.0000 0.5000  -0.01
3 Pa 0.6667 0.3333 0.0715  0.06
4 Pa 0.3333 0.6667 0.9285  0.06
5 O 0.9495 0.6598 0.8067  0.15
6 O 0.3402 0.2897 0.8067  0.15
7 O 0.7103 0.0505 0.8067  0.15
8 O 0.0505 0.3402 0.1933  0.15
9 O 0.6598 0.7103 0.1933  0.15
10 O 0.2897 0.9495 0.1933  0.15
11 O 0.6667 0.3333 0.4350  0.39
12 O 0.3333 0.6667 0.5650  0.39

=====

9.
# Ba8LiAg2

A geometry-optimized Ba8LiAg2 structure (GGA-PBE, Alexandria via LeMat-Bulk).

Results
E above lowest polymorph	0	meV/atom
energy relative to the elements	-0.05	eV/atom
raw total energy	-23.51	eV per formula unit
SG	C2/m, No. 12
DOS(E_F)	15.67	states/eV per cell
theoretical density	4.17	Mg/m³

Cell lengths 5.8343, 8.6855, 11.3240 Å; angles 107.55, 104.93, 90.00 degrees
Sites, in units of the cell vectors:
1 Ba 0.4045 0.5305 0.8089
2 Ba 0.6766 0.9707 0.3533
3 Ba 0.8003 0.6749 0.6007
4 Ba 0.9623 0.2124 0.9245
5 Ba 0.1997 0.3251 0.3993
6 Ba 0.3234 0.0293 0.6467
7 Ba 0.5955 0.4695 0.1911
8 Ba 0.0377 0.7876 0.0755
9 Li 0.5000 0.0000 0.0000
10 Ag 0.8145 0.2917 0.6289
11 Ag 0.1855 0.7083 0.3711

=====

10.
# BaSrGeS4

A geometry-optimized BaSrGeS4 structure (GGA-PBE, Alexandria via LeMat-Bulk).

Results
raw formation energy	-10.113	eV per formula unit
raw total energy	-34.84	eV per formula unit
SG	P2_1/m, No. 11
DOS(E_F)	0.00	states/eV per cell
theoretical density	3.68	Mg/m³

Cell lengths 6.8621, 6.8366, 8.6186 Å; angles 90.00, 108.07, 90.00 degrees
Sites, in units of the cell vectors:
1 Ba 0.7289 0.7500 0.9305
2 Ba 0.2711 0.2500 0.0695
3 Sr 0.7737 0.7500 0.4472
4 Sr 0.2263 0.2500 0.5528
5 Ge 0.2219 0.7500 0.3077
6 Ge 0.7781 0.2500 0.6923
7 S 0.9936 0.5029 0.7470
8 S 0.0064 0.0029 0.2530
9 S 0.0064 0.4971 0.2530
10 S 0.9936 0.9971 0.7470
11 S 0.4132 0.7500 0.1390
12 S 0.5868 0.2500 0.8610
13 S 0.4034 0.7500 0.5699
14 S 0.5966 0.2500 0.4301

=====

11.
# Tb3Er2Se6

A geometry-optimized Tb3Er2Se6 structure (GGA-PBE, Alexandria via LeMat-Bulk).

Results
E above lowest polymorph	73	meV/atom
raw formation energy	-19.615	eV per formula unit
raw total energy	-63.54	eV per formula unit
SG	R-3m, No. 166
DOS(E_F)	4.50	states/eV per cell
theoretical density	7.24	Mg/m³

Cell lengths 4.0986, 4.0986, 20.3856 Å; angles 84.23, 84.23, 60.00 degrees
Sites, in units of the cell vectors:
1 Tb 0.0000 0.0000 0.0000
2 Tb 0.2793 0.2793 0.1621
3 Tb 0.7207 0.7207 0.8379
4 Er 0.4465 0.4465 0.6604
5 Er 0.5535 0.5535 0.3396
6 Se 0.0829 0.0829 0.7514
7 Se 0.9171 0.9171 0.2486
8 Se 0.1974 0.1974 0.4078
9 Se 0.8026 0.8026 0.5922
10 Se 0.3607 0.3607 0.9179
11 Se 0.6393 0.6393 0.0821

=====

12.
# HgMoSeBr2

A geometry-optimized HgMoSeBr2 structure (GGA-PBE, Alexandria via LeMat-Bulk).

Results
E above lowest polymorph	0	meV/atom
raw formation energy	-0.121	eV per formula unit
raw total energy	-18.08	eV per formula unit
SG	P4/mmm, No. 123
DOS(E_F)	2.44	states/eV per cell
theoretical density	6.39	Mg/m³

Cell lengths 5.3373, 5.3373, 4.8816 Å; angles 90.00, 90.00, 90.00 degrees
Each line ends with the local moment (μB).
Sites, in units of the cell vectors:
1 Mo 0.0000 0.0000 0.0000  1.71
2 Se 0.0000 0.0000 0.5000  -0.12
3 Hg 0.5000 0.5000 0.5000  -0.07
4 Br 0.0000 0.5000 0.0000  0.03
5 Br 0.5000 0.0000 0.0000  0.03